# BaLaZn, PBEsol geometry, DFT meta-GGA SCAN
# Energy of formation from the pure elements in eV/atom: -0.15
# N(E_F) in states/eV/cell: 2.7
# Total magnetic moment in μB per cell: 0.0
data_BaLaZn
_chemical_formula_sum 'Ba1 La1 Zn1'
_space_group_name_H-M_alt 'P 1'
_space_group_IT_number 1
_space_group_name_Hall 'P 1'
_cell_length_a 3.878
_cell_length_b 3.878
_cell_length_c 7.308
_cell_angle_alpha 105.39
_cell_angle_beta 105.39
_cell_angle_gamma 90.00
loop_
_atom_site_label
_atom_site_type_symbol
_atom_site_fract_x
_atom_site_fract_y
_atom_site_fract_z
_atom_site_occupancy
Zn1 Zn 0.683 0.683 0.366 1
Ba1 Ba 0.026 0.026 0.051 1
La1 La 0.291 0.291 0.582 1